Computed, not measured: a relaxed structure of Cs3Pb2I2Cl5 at the PBE level of DFT.

* formation energy from raw total energies: -1.472 eV/atom
* total DFT energy (no corrections): -3.33 eV per atom

Unit cell a=5.747 b=5.747 c=15.895 alpha=100.42 beta=100.42 gamma=90.00
Fractional coordinates of all 12 atoms:
I (0.699, 0.699, 0.397)
Cs (0.000, 0.000, 0.000)
Cs (0.173, 0.173, 0.347)
Pb (0.594, 0.594, 0.188)
Cl (0.500, 0.500, 0.000)
Cl (0.091, 0.591, 0.182)
Cl (0.909, 0.409, 0.818)
I (0.301, 0.301, 0.603)
Pb (0.406, 0.406, 0.812)
Cl (0.591, 0.091, 0.182)
Cl (0.409, 0.909, 0.818)
Cs (0.827, 0.827, 0.653)